Record 1
## HfCuHgPb (PBE)

Data for crystalline HfCuHgPb at its relaxed geometry.

It has space group F-43m (No. 216), with a = 7.0026 Å, b = 7.0026 Å, c = 7.0026 Å, α = 90.00°, β = 90.00° and γ = 90.00°. The inequivalent atoms are Hf at (0.0000, 0.0000, 0.0000), Cu at (0.2500, 0.2500, 0.7500), Hg at (0.2500, 0.2500, 0.2500) and Pb at (0.0000, 0.0000, 0.5000).

Its energy above the lowest structure with this stoichiometry is 3.51 kJ/mol of atoms. The crystal system is cubic.

=====

Record 2
## TmOsPt (PBE)

Data for crystalline TmOsPt at its relaxed geometry.

It has space group F-43m (No. 216), with a = 6.3054 Å, b = 6.3054 Å, c = 6.3054 Å, α = 90.00°, β = 90.00° and γ = 90.00°. The inequivalent atoms are Tm at (0.0000, 0.0000, 0.0000), Os at (0.2500, 0.2500, 0.7500) and Pt at (0.2500, 0.2500, 0.2500).

The calculation puts the calculated formation energy at 0.556 eV/atom. The crystal system is cubic.

=====

Record 3
## Li2Zr2AlGaPt2 (PBE)

Data for crystalline Li2Zr2AlGaPt2 at its relaxed geometry.

It has space group P-4m2 (No. 115), with a = 4.4896 Å, b = 4.4896 Å, c = 6.3512 Å, α = 90.00°, β = 90.00° and γ = 90.00°. The inequivalent atoms are Li at (0.0000, 0.5000, 0.2485), Zr at (0.0000, 0.0000, 0.0000), Zr at (0.5000, 0.5000, 0.5000), Al at (0.0000, 0.0000, 0.5000), Ga at (0.5000, 0.5000, 0.0000) and Pt at (0.0000, 0.5000, 0.7454).

The crystal system is tetragonal. As for the final energy: -5.837 eV per atom.

=====

Record 4
## LiHgAsPd (PBE)

Data for crystalline LiHgAsPd at its relaxed geometry.

It has space group F-43m (No. 216), with a = 6.5144 Å, b = 6.5144 Å, c = 6.5144 Å, α = 90.00°, β = 90.00° and γ = 90.00°. The inequivalent atoms are Li at (0.0000, 0.0000, 0.0000), Hg at (0.2500, 0.2500, 0.7500), As at (0.2500, 0.2500, 0.2500) and Pd at (0.0000, 0.0000, 0.5000).

Its energy above the lowest structure with this stoichiometry is 0.00 kJ/mol of atoms. The crystal system is cubic.